Entry 1:
Entry from the Alexandria database: a relaxed Np2HgO7 crystal (PBE).

a = 4.161 Å, b = 7.129 Å, c = 7.977 Å
α = 127.86°, β = 90.00°, γ = 90.00°
Each line ends with the local moment (μB).
Atoms (fractional coordinates):
1 Np 0.500 0.702 0.392  0.14
2 Np 0.500 0.298 0.608  0.14
3 Hg 0.000 0.000 0.000  -0.03
4 O 0.000 0.702 0.396  -0.01
5 O 0.000 0.298 0.604  -0.01
6 O 0.500 0.996 0.339  -0.01
7 O 0.500 0.004 0.661  -0.01
8 O 0.500 0.429 0.123  -0.01
9 O 0.500 0.571 0.877  -0.01
10 O 0.500 0.500 0.500  -0.01

Space-group type = P2/m
Formation energy from raw total energies = -2.118 eV/atom
Density = 7.0 g cm⁻³
Final energy = -8.207 eV/atom
Total magnetic moment = 0.0167 μB per atom
D(E_F) = 3.8 states/eV per cell

***

Entry 2:
Entry from the Alexandria database: a relaxed NpHgO3 crystal (PBE).

a = 5.827 Å, b = 5.828 Å, c = 8.702 Å
α = 70.39°, β = 70.43°, γ = 60.00°
Each line ends with the local moment (μB).
Atoms (fractional coordinates):
1 Np 0.166 0.166 0.501  1.38
2 Np 0.834 0.834 0.499  1.38
3 Hg 0.339 0.339 0.981  -0.01
4 Hg 0.661 0.661 0.019  -0.01
5 O 0.074 0.457 0.630  -0.07
6 O 0.840 0.074 0.630  -0.07
7 O 0.543 0.160 0.370  -0.07
8 O 0.160 0.926 0.370  -0.07
9 O 0.926 0.543 0.370  -0.07
10 O 0.457 0.840 0.630  -0.07

Space-group type = P-1
Formation energy from raw total energies = -2.049 eV/atom
Density = 6.8 g cm⁻³
Final energy = -7.673 eV/atom
Total magnetic moment = 0.2308 μB per atom
D(E_F) = 6.8 states/eV per cell

***

Entry 3:
Entry from the Alexandria database: a relaxed NpHgO6 crystal (PBE).

a = 5.842 Å, b = 5.842 Å, c = 4.654 Å
α = 74.75°, β = 74.75°, γ = 97.24°
Each line ends with the local moment (μB).
Atoms (fractional coordinates):
1 Np 0.000 0.000 0.000  -0.01
2 Hg 0.500 0.500 0.000  0.03
3 O 0.701 0.701 0.165  0.18
4 O 0.163 0.845 0.723  0.07
5 O 0.845 0.163 0.723  0.07
6 O 0.837 0.155 0.277  0.07
7 O 0.299 0.299 0.835  0.18
8 O 0.155 0.837 0.277  0.07

Space-group type = C2/m
Formation energy from raw total energies = -1.028 eV/atom
Density = 6.1 g cm⁻³
Final energy = -6.402 eV/atom
Total magnetic moment = 0.0985 μB per atom
D(E_F) = 5.1 states/eV per cell

***

Entry 4:
Entry from the Alexandria database: a relaxed NpHgO3 crystal (PBE).

a = 4.270 Å, b = 4.270 Å, c = 4.270 Å
α = 90.00°, β = 90.00°, γ = 90.00°
Each line ends with the local moment (μB).
Atoms (fractional coordinates):
1 Np 0.000 0.000 0.000  1.91
2 Hg 0.500 0.500 0.500  -0.15
3 O 0.000 0.500 0.000  -0.13
4 O 0.000 0.000 0.500  -0.13
5 O 0.500 0.000 0.000  -0.13

Space-group type = Pm-3m
Formation energy from raw total energies = -1.957 eV/atom
Density = 10.4 g cm⁻³
Final energy = -7.580 eV/atom
Total magnetic moment = 0.2663 μB per atom
D(E_F) = 4.9 states/eV per cell

***

Entry 5:
Entry from the Alexandria database: a relaxed NpHg2PbO6 crystal (PBE).

a = 6.012 Å, b = 6.013 Å, c = 6.197 Å
α = 60.98°, β = 60.99°, γ = 60.00°
Each line ends with the local moment (μB).
Atoms (fractional coordinates):
1 Np 0.316 0.316 0.052  1.24
2 Hg 0.557 0.557 0.330  0.00
3 Hg 0.076 0.075 0.773  0.00
4 Pb 0.816 0.816 0.551  -0.01
5 O 0.526 0.225 0.289  -0.04
6 O 0.225 0.960 0.289  -0.04
7 O 0.960 0.526 0.289  -0.04
8 O 0.407 0.673 0.814  -0.04
9 O 0.673 0.106 0.814  -0.04
10 O 0.106 0.407 0.814  -0.04

Space-group type = R-3
Formation energy from raw total energies = -1.419 eV/atom
Density = 9.7 g cm⁻³
Final energy = -6.119 eV/atom
Total magnetic moment = 0.1000 μB per atom
D(E_F) = 1.8 states/eV per cell

***

Entry 6:
Entry from the Alexandria database: a relaxed PmNpHgO6 crystal (PBE).

a = 5.678 Å, b = 5.678 Å, c = 10.170 Å
α = 90.00°, β = 90.00°, γ = 120.00°
Atoms (fractional coordinates):
1 Pm 0.000 0.000 0.000
2 Pm 0.000 0.000 0.500
3 Np 0.667 0.333 0.250
4 Np 0.333 0.667 0.750
5 Hg 0.333 0.667 0.250
6 Hg 0.667 0.333 0.750
7 O 0.685 0.635 0.134
8 O 0.950 0.315 0.134
9 O 0.315 0.950 0.634
10 O 0.050 0.685 0.866
11 O 0.365 0.315 0.366
12 O 0.950 0.635 0.366
13 O 0.635 0.950 0.866
14 O 0.685 0.050 0.366
15 O 0.050 0.365 0.634
16 O 0.365 0.050 0.134
17 O 0.635 0.685 0.634
18 O 0.315 0.365 0.866

Space-group type = P-31c
Formation energy from raw total energies = -2.229 eV/atom
Density = 7.9 g cm⁻³
Final energy = -7.534 eV/atom
Total magnetic moment = 0.0000 μB per atom

***

Entry 7:
Entry from the Alexandria database: a relaxed Pm2NpHgO8 crystal (PBE).

a = 4.114 Å, b = 5.403 Å, c = 7.851 Å
α = 94.82°, β = 88.43°, γ = 97.16°
Atoms (fractional coordinates):
1 Pm 0.513 0.477 0.746
2 Pm 0.487 0.523 0.254
3 Np 0.000 0.000 0.000
4 Hg 0.000 0.000 0.500
5 O 0.045 0.783 0.228
6 O 0.571 0.777 0.009
7 O 0.937 0.259 0.185
8 O 0.955 0.217 0.772
9 O 0.429 0.223 0.991
10 O 0.063 0.741 0.815
11 O 0.597 0.735 0.521
12 O 0.403 0.265 0.479

Space-group type = P-1
Formation energy from raw total energies = -2.371 eV/atom
Density = 8.2 g cm⁻³
Final energy = -7.572 eV/atom
Total magnetic moment = 0.0000 μB per atom
D(E_F) = 4.0 states/eV per cell

***

Entry 8:
Entry from the Alexandria database: a relaxed PrNpHgO6 crystal (PBE).

a = 5.704 Å, b = 5.704 Å, c = 10.330 Å
α = 90.00°, β = 90.00°, γ = 120.00°
Atoms (fractional coordinates):
1 Pr 0.000 0.000 0.000
2 Pr 0.000 0.000 0.500
3 Np 0.667 0.333 0.250
4 Np 0.333 0.667 0.750
5 Hg 0.333 0.667 0.250
6 Hg 0.667 0.333 0.750
7 O 0.682 0.632 0.136
8 O 0.950 0.318 0.136
9 O 0.318 0.950 0.636
10 O 0.050 0.682 0.864
11 O 0.368 0.318 0.364
12 O 0.950 0.632 0.364
13 O 0.632 0.950 0.864
14 O 0.682 0.050 0.364
15 O 0.050 0.368 0.636
16 O 0.368 0.050 0.136
17 O 0.632 0.682 0.636
18 O 0.318 0.368 0.864

Space-group type = P-31c
Formation energy from raw total energies = -2.215 eV/atom
Density = 7.7 g cm⁻³
Final energy = -7.523 eV/atom
Total magnetic moment = 0.0000 μB per atom

***

Entry 9:
Entry from the Alexandria database: a relaxed NpHgPtO6 crystal (PBE).

a = 5.357 Å, b = 5.357 Å, c = 10.349 Å
α = 90.00°, β = 90.00°, γ = 120.00°
Each line ends with the local moment (μB).
Atoms (fractional coordinates):
1 Np 0.667 0.333 0.250  1.27
2 Np 0.333 0.667 0.750  1.27
3 Hg 0.000 0.000 0.000  -0.01
4 Hg 0.000 0.000 0.500  -0.01
5 Pt 0.333 0.667 0.250  -0.02
6 Pt 0.667 0.333 0.750  -0.02
7 O 0.641 0.648 0.140  -0.04
8 O 0.007 0.359 0.140  -0.04
9 O 0.359 0.007 0.640  -0.04
10 O 0.993 0.641 0.860  -0.04
11 O 0.352 0.359 0.360  -0.04
12 O 0.007 0.648 0.360  -0.04
13 O 0.648 0.007 0.860  -0.04
14 O 0.641 0.993 0.360  -0.04
15 O 0.993 0.352 0.640  -0.04
16 O 0.352 0.993 0.140  -0.04
17 O 0.648 0.641 0.640  -0.04
18 O 0.359 0.352 0.860  -0.04

Space-group type = P-31c
Formation energy from raw total energies = -1.393 eV/atom
Density = 9.4 g cm⁻³
Final energy = -6.841 eV/atom
Total magnetic moment = 0.1111 μB per atom

***

Entry 10:
Entry from the Alexandria database: a relaxed Rb2NpHg2O6 crystal (PBE).

a = 6.809 Å, b = 6.809 Å, c = 6.430 Å
α = 100.36°, β = 100.36°, γ = 115.66°
Atoms (fractional coordinates):
1 Rb 0.342 0.658 0.500
2 Rb 0.658 0.342 0.500
3 Np 0.000 0.000 0.500
4 Hg 0.865 0.135 0.000
5 Hg 0.135 0.865 0.000
6 O 0.825 0.825 0.749
7 O 0.056 0.296 0.662
8 O 0.175 0.175 0.251
9 O 0.296 0.056 0.662
10 O 0.944 0.704 0.338
11 O 0.704 0.944 0.338

Space-group type = C2/m
Formation energy from raw total energies = -1.435 eV/atom
Density = 5.9 g cm⁻³
Final energy = -5.547 eV/atom
Total magnetic moment = 0.0000 μB per atom
D(E_F) = 3.8 states/eV per cell

***

Entry 11:
Entry from the Alexandria database: a relaxed RbNp2HgO8 crystal (PBE).

a = 6.101 Å, b = 6.101 Å, c = 7.102 Å
α = 90.00°, β = 90.00°, γ = 120.00°
Each line ends with the local moment (μB).
Atoms (fractional coordinates):
1 Rb 0.000 0.000 0.500  0.00
2 Np 0.667 0.333 0.057  0.72
3 Np 0.333 0.667 0.943  0.72
4 Hg 0.000 0.000 0.000  0.01
5 O 0.937 0.612 0.876  -0.05
6 O 0.388 0.326 0.876  -0.05
7 O 0.674 0.063 0.876  -0.05
8 O 0.063 0.388 0.124  -0.05
9 O 0.612 0.674 0.124  -0.05
10 O 0.326 0.937 0.124  -0.05
11 O 0.667 0.333 0.318  -0.07
12 O 0.333 0.667 0.682  -0.07

Space-group type = P-3
Formation energy from raw total energies = -1.931 eV/atom
Density = 6.4 g cm⁻³
Final energy = -7.499 eV/atom
Total magnetic moment = 0.0845 μB per atom
D(E_F) = 8.0 states/eV per cell

***

Entry 12:
Entry from the Alexandria database: a relaxed Rb4Np3HgO12 crystal (PBE).

a = 7.550 Å, b = 7.550 Å, c = 7.550 Å
α = 109.47°, β = 109.47°, γ = 109.47°
Each line ends with the local moment (μB).
Atoms (fractional coordinates):
1 Rb 0.500 0.500 0.500  0.00
2 Rb 0.000 0.000 0.500  0.00
3 Rb 0.500 0.000 0.000  0.00
4 Rb 0.000 0.500 0.000  0.00
5 Np 0.500 0.000 0.500  1.21
6 Np 0.500 0.500 0.000  1.21
7 Np 0.000 0.500 0.500  1.21
8 Hg 0.000 0.000 0.000  -0.02
9 O 0.250 0.500 0.750  -0.06
10 O 0.723 0.000 0.723  -0.05
11 O 0.277 0.000 0.277  -0.05
12 O 0.750 0.500 0.250  -0.06
13 O 0.723 0.723 0.000  -0.05
14 O 0.277 0.277 0.000  -0.05
15 O 0.750 0.250 0.500  -0.06
16 O 0.250 0.750 0.500  -0.06
17 O 0.500 0.250 0.750  -0.06
18 O 0.000 0.723 0.723  -0.05
19 O 0.500 0.750 0.250  -0.06
20 O 0.000 0.277 0.277  -0.05

Space-group type = Im-3m
Formation energy from raw total energies = -2.319 eV/atom
Density = 7.2 g cm⁻³
Final energy = -7.443 eV/atom
Total magnetic moment = 0.1500 μB per atom
D(E_F) = 4.7 states/eV per cell